The following is a DFT calculation (PBE) of a geometry-optimized ZnGaCo2 structure.

```
ZnGaCo2
1.0
-6.515 -0.240 -0.660
-0.150 -5.541 3.495
-3.597 -1.547 3.537
Zn Co Ga
2 4 2
Direct
0.250 0.750 0.500 Zn
0.500 0.500 0.000 Zn
0.875 0.881 0.750 Co
0.631 0.125 0.250 Co
0.119 0.625 0.250 Co
0.375 0.369 0.750 Co
0.750 0.250 0.500 Ga
0.000 0.000 0.000 Ga
```

- ΔE_f (eV per atom) = 0.303
- VASP energy (eV per atom) = -4.326
- crystal system = tetragonal
- symmetry = I-42d, No. 122
- DOS at the Fermi energy (states/eV per atom) = 1.418